Entry from Alexandria via LeMat-Bulk: Nd3ZnGa2 after structural relaxation (PBE).

* crystal system: tetragonal
* E: -24.4 eV per cell
* V: 25.26 Å³/atom
* calculated formation energy: -470 meV/atom
* theoretical density: 6.99 g/cm³
* offset from the most stable computed form: 7 meV per atom
* DOS(E_F): 5.433 states/eV per cell
* space-group type: P4/mmm, No. 123
* size of the total moment: 0.0 μB per formula unit

abc: 3.6661 3.6661 11.2747
angles: 90.00 90.00 90.00
Fractional coordinates of all 6 atoms:
Nd1 0.0000 0.0000 0.6645
Nd2 0.0000 0.0000 0.3355
Zn1 0.5000 0.5000 0.5000
Ga1 0.5000 0.5000 0.8287
Ga2 0.5000 0.5000 0.1713
Nd3 0.0000 0.0000 0.0000